Here is a relaxed structure of SmHBrF from Alexandria. Energies are from PBE.

Fermi-level density of states: 0.0 states/eV/f.u.
spin magnetization: 0.00 μB per formula unit
total DFT energy (no corrections): -4.946 eV/atom

a b c (Å): 3.883 3.945 6.180
angles (deg): 71.39 108.31 90.00
Element x y z (fractional)
1 H 0.033 0.254 0.066
2 Sm 0.614 0.173 0.228
3 F 0.521 0.766 0.042
4 Br 0.262 0.525 0.525

---

Here is a relaxed structure of ZrH2Br2F2 from Alexandria. Energies are from PBE.

Fermi-level density of states: 0.0 states/eV/f.u.
spin magnetization: 0.00 μB per formula unit
total DFT energy (no corrections): -4.883 eV/atom

a b c (Å): 3.908 6.742 6.814
angles (deg): 89.28 73.34 73.16
Element x y z (fractional)
1 Zr 0.000 0.000 0.000
2 F 0.779 0.247 0.195
3 F 0.221 0.753 0.805
4 H 0.042 0.464 0.452
5 H 0.958 0.536 0.548
6 Br 0.475 0.827 0.222
7 Br 0.525 0.173 0.778

---

Here is a relaxed structure of HfBr2F from Alexandria. Energies are from PBE.

Fermi-level density of states: 3.1 states/eV/f.u.
offset from the most stable computed form: 0.7778 eV/atom
formation energy (no corrections): -1.022 eV per atom
spin magnetization: 1.00 μB per formula unit

a b c (Å): 4.687 4.687 4.687
angles (deg): 60.00 60.00 60.00
Element x y z (fractional)
1 Br 0.750 0.750 0.750
2 Br 0.250 0.250 0.250
3 Hf 0.500 0.500 0.500
4 F 0.000 0.000 0.000

---

Here is a relaxed structure of HfBrF2 from Alexandria. Energies are from PBE.

Fermi-level density of states: 2.4 states/eV/f.u.
offset from the most stable computed form: 0.7192 eV/atom
formation energy (no corrections): -1.493 eV per atom
spin magnetization: 0.00 μB per formula unit

a b c (Å): 4.296 4.296 4.296
angles (deg): 60.00 60.00 60.00
Element x y z (fractional)
1 Br 0.000 0.000 0.000
2 F 0.250 0.250 0.250
3 F 0.750 0.750 0.750
4 Hf 0.500 0.500 0.500

---

Here is a relaxed structure of HfBrF4 from Alexandria. Energies are from PBE.

formation energy (no corrections): -2.935 eV per atom
spin magnetization: 0.00 μB per formula unit

a b c (Å): 7.035 5.226 9.264
angles (deg): 106.38 121.52 90.00
Element x y z (fractional)
1 Hf 0.294 0.582 0.164
2 Hf 0.706 0.418 0.836
3 F 0.468 0.314 0.152
4 F 0.000 0.727 0.000
5 F 0.532 0.686 0.848
6 F 0.468 0.838 0.152
7 F 0.346 0.698 0.397
8 F 0.654 0.302 0.603
9 F 0.000 0.273 0.000
10 F 0.532 0.162 0.848
11 Br 0.964 0.756 0.513
12 Br 0.036 0.244 0.487

---

Here is a relaxed structure of HfBrF2 from Alexandria. Energies are from PBE.

Fermi-level density of states: 2.9 states/eV/f.u.
offset from the most stable computed form: 0.0000 eV/atom
formation energy (no corrections): -2.212 eV per atom
spin magnetization: 0.70 μB per formula unit

a b c (Å): 4.623 4.623 7.591
angles (deg): 72.27 72.27 90.00
Element x y z (fractional)
1 F 0.875 0.125 0.250
2 F 0.375 0.125 0.750
3 F 0.875 0.125 0.750
4 F 0.875 0.625 0.250
5 Hf 0.000 0.000 0.000
6 Hf 0.750 0.250 0.500
7 Br 0.250 0.750 0.500
8 Br 0.500 0.500 0.000

---

Here is a relaxed structure of HfBrF2 from Alexandria. Energies are from PBE.

Fermi-level density of states: 2.1 states/eV/f.u.
offset from the most stable computed form: 0.5394 eV/atom
formation energy (no corrections): -1.673 eV per atom
spin magnetization: 0.00 μB per formula unit

a b c (Å): 10.736 10.736 10.736
angles (deg): 17.20 17.20 17.20
Element x y z (fractional)
1 Br 0.500 0.500 0.500
2 Hf 0.000 0.000 0.000
3 F 0.940 0.940 0.940
4 F 0.060 0.060 0.060

---

Here is a relaxed structure of HfBr2F from Alexandria. Energies are from PBE.

Fermi-level density of states: 6.4 states/eV/f.u.
offset from the most stable computed form: 1.4282 eV/atom
formation energy (no corrections): -0.372 eV per atom
spin magnetization: 0.57 μB per formula unit

a b c (Å): 8.864 8.864 8.864
angles (deg): 24.07 24.07 24.07
Element x y z (fractional)
1 F 0.500 0.500 0.500
2 Br 0.094 0.094 0.094
3 Br 0.906 0.906 0.906
4 Hf 0.000 0.000 0.000